The following is a DFT calculation (PBE-GGA) of a relaxed structure of TmTaFeOs.

* formation energy: -15.8 kJ per mole of atoms
* DFT total energy: -36.67 eV per formula unit

abc: 6.427 6.427 6.427
angles: 90.00 90.00 90.00
Atoms (fractional coordinates):
1 Tm 0.000 0.000 0.000
2 Tm 0.000 0.500 0.500
3 Tm 0.500 0.000 0.500
4 Tm 0.500 0.500 0.000
5 Ta 0.000 0.000 0.500
6 Ta 0.000 0.500 0.000
7 Ta 0.500 0.000 0.000
8 Ta 0.500 0.500 0.500
9 Fe 0.250 0.250 0.250
10 Fe 0.250 0.750 0.750
11 Fe 0.750 0.250 0.750
12 Fe 0.750 0.750 0.250
13 Os 0.250 0.250 0.750
14 Os 0.250 0.750 0.250
15 Os 0.750 0.250 0.250
16 Os 0.750 0.750 0.750